Entry from Alexandria via LeMat-Bulk: a relaxed Ac5Nd4Tl4 crystal (PBE).

Results
* DFT formation energy: -0.2360 eV/atom

```
data_Ac5Nd4Tl4
_chemical_formula_sum 'Ac10 Nd8 Tl8'
_cell_length_a 13.626
_cell_length_b 13.626
_cell_length_c 5.138
_cell_angle_alpha 90.00
_cell_angle_beta 90.00
_cell_angle_gamma 90.00
_symmetry_space_group_name_H-M 'I 4/m'
_symmetry_Int_Tables_number 87
_symmetry_space_group_name_Hall '-I 4'
loop_
_atom_site_label
_atom_site_fract_x
_atom_site_fract_y
_atom_site_fract_z
Ac1 0.000 0.000 0.000
Ac2 0.122 0.201 0.500
Nd1 0.090 0.597 0.500
Tl1 0.075 0.758 0.000
```